No. 1
CaHf2Tl: optimized geometry, PBE.

Lattice parameters (Å, degrees): 7.2558 7.2558 7.2558 90.00 90.00 90.00
Positions (direct):
Ca 0.0000 0.0000 0.0000
Ca 0.0000 0.5000 0.5000
Ca 0.5000 0.0000 0.5000
Ca 0.5000 0.5000 0.0000
Hf 0.2500 0.2500 0.2500
Hf 0.2500 0.2500 0.7500
Hf 0.2500 0.7500 0.2500
Hf 0.2500 0.7500 0.7500
Hf 0.7500 0.2500 0.2500
Hf 0.7500 0.2500 0.7500
Hf 0.7500 0.7500 0.2500
Hf 0.7500 0.7500 0.7500
Tl 0.0000 0.0000 0.5000
Tl 0.0000 0.5000 0.0000
Tl 0.5000 0.0000 0.0000
Tl 0.5000 0.5000 0.5000

Values from the calculation:
Magnetization: 0.00 μB/f.u.
ΔE_f: 10.96 kcal/mol of atoms
Raw total energy: -5.59 eV per atom
Distance to the lowest polymorph of the same formula: 0 meV per atom
Mass density: 10.5 g/cm3

=====

No. 2
CaHf2TlW: optimized geometry, PBE.

Lattice parameters (Å, degrees): 5.2858 5.2858 5.4147 90.00 90.00 90.00
Positions (direct):
Ca 0.0000 0.0000 0.0000
Hf 0.0000 0.5000 0.5000
Hf 0.5000 0.0000 0.5000
Tl 0.0000 0.0000 0.5000
W 0.5000 0.5000 0.0000

Values from the calculation:
Magnetization: 3.05 μB/f.u.
ΔE_f: 42.85 kcal/mol of atoms
Raw total energy: -5.59 eV per atom
Mass density: 8.6 g/cm3